Below is a relaxed structure of K2PdIO4, with properties calculated at the PBE-GGA level.

As for the formation energy from raw total energies: -0.632 eV per atom.

It has space group I-4 (No. 82), with a = 6.4510 Å, b = 6.4510 Å, c = 7.1758 Å, α = 90.00°, β = 90.00° and γ = 90.00°. The asymmetric unit holds K at (0.0000, 0.0000, 0.0000), K at (0.0000, 0.5000, 0.2500), Pd at (0.0000, 0.0000, 0.5000), I at (0.0000, 0.5000, 0.7500) and O at (0.1364, 0.2983, 0.5726).